Density functional theory data (PBE-GGA) for crystalline Sm8InHg2 at its relaxed geometry.

Lattice parameters (Å, degrees): 5.5482 8.6920 8.6920 118.51 100.54 100.54
Sites, in units of the cell vectors:
Sm 0.5000 0.7751 0.2249
Sm 0.0977 0.0896 0.3136
In 0.5000 0.0000 0.0000
Hg 0.0000 0.3083 0.6918
Sm 0.9023 0.9104 0.6864
Sm 0.0977 0.3136 0.0896
Sm 0.9023 0.6864 0.9104
Sm 0.6977 0.3993 0.3993
Sm 0.5000 0.2249 0.7751
Sm 0.3023 0.6007 0.6007
Hg 0.0000 0.6918 0.3083

- E: -3.892 eV/atom
- Distance to the lowest polymorph of the same formula: 101.9 kJ/mol of formula units
- Crystal system: monoclinic
- Formation enthalpy at 0 K: -156 meV/atom
- DOS at the Fermi energy: 13.913 states/eV per cell

---

Density functional theory data (PBE-GGA) for crystalline SmInHg4 at its relaxed geometry.

Lattice parameters (Å, degrees): 4.7480 4.8168 6.9429 90.00 109.99 90.00
Sites, in units of the cell vectors:
Sm 0.5000 0.5000 0.0000
Hg 0.1721 0.5000 0.3442
Hg 0.8279 0.5000 0.6558
Hg 0.3346 0.0000 0.6691
In 0.0000 0.0000 0.0000
Hg 0.6654 0.0000 0.3309

- E: -1.702 eV/atom
- Distance to the lowest polymorph of the same formula: 0.0 kJ/mol of formula units
- Crystal system: orthorhombic
- Formation enthalpy at 0 K: -258 meV/atom
- DOS at the Fermi energy: 2.240 states/eV per cell

---

Density functional theory data (PBE-GGA) for crystalline Sm2InHg4 at its relaxed geometry.

Lattice parameters (Å, degrees): 5.1668 5.1668 8.7748 72.88 72.88 60.00
Sites, in units of the cell vectors:
In 0.0000 0.0000 0.0000
Sm 0.2558 0.2558 0.2327
Sm 0.7442 0.7442 0.7673
Hg 0.3870 0.3870 0.8390
Hg 0.6130 0.6130 0.1610
Hg 0.1310 0.1310 0.6071
Hg 0.8690 0.8690 0.3929

- E: -2.238 eV/atom
- Distance to the lowest polymorph of the same formula: 0.0 kJ/mol of formula units
- Crystal system: trigonal
- Formation enthalpy at 0 K: -326 meV/atom
- DOS at the Fermi energy: 4.199 states/eV per cell

---

- The highest distance to the lowest polymorph of the same formula belongs to which entry?
  Sm8InHg2